Record 1
! MoAs | the Alexandria database | PBE | optimized geometry; values from VASP
! - Space-group type: P4/nmm
! - E_form: 0.39 eV/atom
&SYSTEM
  ibrav = 0, nat = 4, ntyp = 2
/
ATOMIC_SPECIES
Mo 95.94 Mo.upf
As 74.92 As.upf
CELL_PARAMETERS angstrom
3.7585 0.0000 0.0000
0.0000 3.7585 0.0000
0.0000 0.0000 4.8075
ATOMIC_POSITIONS angstrom
Mo 0.9396 0.9396 1.8366
Mo 2.8188 2.8188 2.9708
As 2.8188 0.9396 0.0000
As 0.9396 2.8188 0.0000

***

Record 2
! Mg3TlV | the Alexandria database | PBE | optimized geometry; values from VASP
! - Polymorph energy (0 for the lowest one): 0.00 kcal/mol of atoms
! - Space-group type: Pm-3m
! - E_form: 0.72 eV/atom
&SYSTEM
  ibrav = 0, nat = 5, ntyp = 3
/
ATOMIC_SPECIES
Mg 24.30 Mg.upf
V 50.94 V.upf
Tl 204.38 Tl.upf
CELL_PARAMETERS angstrom
-3.3402 1.1322 -3.9971
3.4809 -2.0367 -3.4858
-2.2675 -4.7943 0.5370
ATOMIC_POSITIONS angstrom
Mg -1.1338 -2.3972 0.2685
Mg 1.7404 -1.0184 -1.7429
Mg -1.6701 0.5661 -1.9985
V 0.0000 0.0000 0.0000
Tl -1.0635 -2.8494 -3.4729

***

Record 3
! BaMgAs2Pd | the Alexandria database | PBE | optimized geometry; values from VASP
! - Space-group type: P4/mmm
! - E_form: -0.01 eV/atom
&SYSTEM
  ibrav = 0, nat = 5, ntyp = 4
/
ATOMIC_SPECIES
As 74.92 As.upf
Mg 24.30 Mg.upf
Pd 106.42 Pd.upf
Ba 137.33 Ba.upf
CELL_PARAMETERS angstrom
5.0657 0.0000 0.0000
0.0000 5.5943 0.0000
0.0000 0.0000 5.0657
ATOMIC_POSITIONS angstrom
As 2.5328 0.0000 0.0000
As 0.0000 0.0000 2.5328
Mg 2.5328 2.7971 2.5328
Pd 0.0000 0.0000 0.0000
Ba 0.0000 2.7971 0.0000

***

Record 4
! YCu2Os | the Alexandria database | PBE | optimized geometry; values from VASP
! - Polymorph energy (0 for the lowest one): 2.22 kcal/mol of atoms
! - Space-group type: P4/mmm
! - E_form: 0.20 eV/atom
&SYSTEM
  ibrav = 0, nat = 4, ntyp = 3
/
ATOMIC_SPECIES
Cu 63.55 Cu.upf
Y 88.91 Y.upf
Os 190.23 Os.upf
CELL_PARAMETERS angstrom
3.3603 -0.0293 0.0000
0.0294 3.3603 0.0000
0.0000 0.0000 5.7965
ATOMIC_POSITIONS angstrom
Cu 0.0000 0.0000 2.6507
Cu 0.0000 0.0000 0.2476
Y 1.6949 1.6655 4.3474
Os 1.6949 1.6655 1.4491

***

Record 5
! Ac8Ir3PtCl4 | the Alexandria database | PBE | optimized geometry; values from VASP
! - Space-group type: C2/m
! - Energy relative to the elements, uncorrected: -129 kJ per mole of atoms
&SYSTEM
  ibrav = 0, nat = 16, ntyp = 4
/
ATOMIC_SPECIES
Cl 35.45 Cl.upf
Ac 227.00 Ac.upf
Ir 192.22 Ir.upf
Pt 195.08 Pt.upf
CELL_PARAMETERS angstrom
8.7410 0.0000 0.0000
0.0000 9.4065 0.4652
-4.3705 -4.3702 6.1795
ATOMIC_POSITIONS angstrom
Cl 0.0000 0.0000 0.0000
Cl 2.1853 -2.1851 3.0898
Cl -2.1853 -2.1851 3.0898
Cl 4.3705 0.0000 0.0000
Ac 2.2220 2.6519 0.3522
Ac 4.3705 4.5569 3.2200
Ac -2.1485 2.3845 6.2926
Ac 6.5190 2.6519 0.3522
Ac 0.0000 0.4795 3.4248
Ac 4.3705 0.5029 3.3909
Ac 0.0000 4.5334 3.2539
Ac 2.1485 2.3845 6.2926
Ir -2.1853 2.5182 3.3224
Ir 4.3705 4.7033 0.2326
Ir 2.1853 2.5182 3.3224
Pt 0.0000 4.7033 0.2326

***

Record 6
! Zr2CdIr2 | the Alexandria database | PBE | optimized geometry; values from VASP
! - Space-group type: I4/mmm
! - E_form: -0.27 eV/atom
&SYSTEM
  ibrav = 0, nat = 5, ntyp = 3
/
ATOMIC_SPECIES
Ir 192.22 Ir.upf
Cd 112.41 Cd.upf
Zr 91.22 Zr.upf
CELL_PARAMETERS angstrom
-1.0524 3.7053 -0.9495
-3.8029 -0.9078 0.6722
-1.7126 3.2946 6.4670
ATOMIC_POSITIONS angstrom
Ir -3.9715 1.8927 3.5003
Ir -2.5963 4.1993 2.6894
Cd 0.0000 0.0000 0.0000
Zr -2.2536 1.8601 1.4689
Zr -4.3142 4.2319 4.7208

***

| no. | mass density (g/cm3) |
| --- | --- |
| 1 | 8.4 |
| 2 | 3.6 |
| 3 | 4.8 |
| 4 | 10.3 |
| 5 | 8.6 |
| 6 | 10.4 |